# V4CoCuO12 | Alexandria via LeMat-Bulk | PBE with a Hubbard U | optimized geometry
data_V4CoCuO12
_cell_length_a 9.900
_cell_length_b 8.908
_cell_length_c 5.975
_cell_angle_alpha 90.00
_cell_angle_beta 108.74
_cell_angle_gamma 90.00
_space_group_name_H-M_alt 'C 1 2 1'
_space_group_IT_number 5
_space_group_name_Hall 'C 2y'
loop_
_atom_site_label
_atom_site_type_symbol
_atom_site_fract_x
_atom_site_fract_y
_atom_site_fract_z
_atom_site_occupancy
V1 V 0.200 0.000 0.484 1
V2 V 0.204 0.820 0.990 1
Co1 Co 0.000 0.328 0.500 1
Cu1 Cu 0.000 0.496 0.000 1
O1 O 0.111 0.335 0.900 1
O2 O 0.120 0.495 0.423 1
O3 O 0.136 0.922 0.189 1
O4 O 0.142 0.896 0.697 1
O5 O 0.144 0.179 0.474 1
O6 O 0.148 0.641 0.986 1
# VASP energy ... -7.066 eV/atom